A geometry-optimized CePr2Tl2Ag2 structure. Source: the Alexandria database, functional PBE.

abc: 4.9996 4.9996 27.2090
angles: 90.00 90.00 120.00
Closest atoms and distances in Å follow each position.
Space group R-3m (No. 166, hexagonal axes)
Asymmetric unit:
Ce  0.0000  0.0000  0.0000  6 Ag 3.35, 2 Pr 3.38, 6 Tl 3.45
Pr  0.0000  0.0000  0.1244  3 Tl 3.25, 3 Ag 3.35, 1 Ce 3.38
Tl  0.0000  0.0000  0.2639  3 Ag 2.89
Ag  0.0000  0.0000  0.3955  3 Tl 2.89

Calculated values
calculated formation energy	-1.19	eV per formula unit
density of states at the Fermi level	1.394	states/eV per atom
final energy	-3.873	eV per atom



A geometry-optimized Ce3AgPt8 structure. Source: the Alexandria database, functional PBE.

abc: 5.4378 5.4378 26.7528
angles: 90.00 90.00 120.00
Closest atoms and distances in Å follow each position.
Space group R3m (No. 160, hexagonal axes)
Asymmetric unit:
Ce  0.0000  0.0000  0.0000  12 Pt 3.15-3.26, 4 Ce 3.42-3.45
Ce  0.0000  0.0000  0.1279  12 Pt 3.07-3.28, 3 Ag 3.25, 1 Ce 3.42
Ce  0.0000  0.0000  0.6134  12 Pt 3.07-3.40, 1 Ag 3.23
Ag  0.0000  0.0000  0.4926  12 Pt 3.10-3.26, 4 Ce 3.23-3.25
Pt  0.0000  0.0000  0.3096  6 Pt 2.72-2.73
Pt  0.0000  0.0000  0.8097  6 Pt 2.72-2.74
Pt  0.9999  0.5000  0.0593  6 Pt 2.72-2.74
Pt  0.0025  0.5012  0.5598  6 Pt 2.70-2.74

Calculated values
calculated formation energy	-10.89	eV per formula unit
density of states at the Fermi level	1.252	states/eV per atom
final energy	-6.656	eV per atom



A geometry-optimized Ce3AgPt structure. Source: the Alexandria database, functional PBE.

abc: 11.3883 5.5129 8.7545
angles: 90.00 109.91 90.00
Closest atoms and distances in Å follow each position.
Space group C2/m (No. 12)
Asymmetric unit:
Ce  0.1255  0.0000  0.4541  3 Pt 2.77-2.89
Ce  0.1291  0.5000  0.1141  2 Ce 2.80-2.94, 1 Pt 3.02
Ce  0.1516  0.5000  0.8058  1 Ce 2.80, 2 Pt 3.00, 2 Ag 3.09
Ag  0.0737  0.0000  0.9008  1 Ag 2.80, 2 Ce 3.09
Pt  0.1050  0.5000  0.4468  6 Ce 2.77-3.02, 1 Pt 2.85

Calculated values
calculated formation energy	-1.91	eV per formula unit
density of states at the Fermi level	2.677	states/eV per atom
final energy	-5.721	eV per atom



A geometry-optimized Ce2Ag2Pt15 structure. Source: the Alexandria database, functional PBE.

abc: 9.3407 9.3407 13.4623
angles: 90.00 90.00 120.00
Closest atoms and distances in Å follow each position.
Space group R-3m (No. 166, hexagonal axes)
Asymmetric unit:
Ce  0.0000  0.0000  0.1546  12 Pt 3.19-3.43, 1 Ag 3.30
Ag  0.0000  0.0000  0.4000  1 Ag 2.69, 6 Pt 2.84-2.92
Pt  0.0000  0.3189  0.5000  8 Pt 2.70-2.98
Pt  0.0000  0.5000  0.0000  8 Pt 2.70-2.72, 2 Ag 2.84
Pt  0.0055  0.5027  0.6594  8 Pt 2.66-2.78, 1 Ag 2.92

Calculated values
calculated formation energy	-8.44	eV per formula unit
density of states at the Fermi level	1.112	states/eV per atom
final energy	-6.138	eV per atom



A geometry-optimized CeAg4Pt structure. Source: the Alexandria database, functional PBE.

abc: 7.7809 7.7809 7.7809
angles: 90.00 90.00 90.00
Closest atoms and distances in Å follow each position.
Space group F-43m (No. 216)
Asymmetric unit:
Ce  0.0000  0.0000  0.0000  12 Ag 3.23, 4 Pt 3.37
Ag  0.1245  0.1245  0.3755  6 Ag 2.74-2.76
Pt  0.2500  0.2500  0.7500  12 Ag 3.22, 4 Ce 3.37

Calculated values
calculated formation energy	-0.94	eV per formula unit
density of states at the Fermi level	1.454	states/eV per atom
final energy	-4.053	eV per atom



A geometry-optimized Ce3Ag2Pt3 structure. Source: the Alexandria database, functional PBE.

abc: 8.7061 8.7061 5.7038
angles: 90.00 90.00 120.00
Closest atoms and distances in Å follow each position.
Space group P6_3/mcm (No. 193)
Asymmetric unit:
Ce  0.0000  0.3029  0.2500  5 Pt 2.89-2.95
Ag  0.3333  0.6667  0.0000  2 Ag 2.85, 6 Pt 3.14
Pt  0.0000  0.3578  0.7500  5 Ce 2.89-2.95, 4 Ag 3.14

Calculated values
calculated formation energy	-5.84	eV per formula unit
density of states at the Fermi level	2.045	states/eV per atom
final energy	-5.934	eV per atom



A geometry-optimized CeAgPt4 structure. Source: the Alexandria database, functional PBE.

abc: 7.6147 7.6147 7.6147
angles: 90.00 90.00 90.00
Closest atoms and distances in Å follow each position.
Space group F-43m (No. 216)
Asymmetric unit:
Ce  0.0000  0.0000  0.0000  12 Pt 3.16, 4 Ag 3.30
Ag  0.2500  0.2500  0.7500  12 Pt 3.16, 4 Ce 3.30
Pt  0.1245  0.1245  0.3755  6 Pt 2.68-2.70

Calculated values
calculated formation energy	-4.44	eV per formula unit
density of states at the Fermi level	1.302	states/eV per atom
final energy	-6.232	eV per atom



A geometry-optimized Ce2AgPt9 structure. Source: the Alexandria database, functional PBE.

abc: 5.4167 5.4167 26.6489
angles: 90.00 90.00 120.00
Closest atoms and distances in Å follow each position.
Space group R-3m (No. 166, hexagonal axes)
Asymmetric unit:
Ce  0.0000  0.0000  0.1348  9 Pt 3.02-3.24
Ag  0.0000  0.0000  0.0000  6 Pt 3.13
Pt  0.0000  0.0000  0.3323  6 Pt 2.71-2.78
Pt  0.0000  0.0000  0.5000  6 Pt 2.70
Pt  0.0043  0.5022  0.9152  7 Pt 2.67-2.78

Calculated values
calculated formation energy	-6.97	eV per formula unit
density of states at the Fermi level	1.273	states/eV per atom
final energy	-6.338	eV per atom



A geometry-optimized Ce7AgPt4 structure. Source: the Alexandria database, functional PBE.

abc: 13.3920 5.5817 9.8628
angles: 90.00 124.86 90.00
Closest atoms and distances in Å follow each position.
Space group C2/m (No. 12)
Asymmetric unit:
Ce  0.0000  0.0000  0.0000  2 Ag 2.79, 4 Pt 2.80-2.81
Ce  0.0685  0.5000  0.3691  1 Pt 2.79, 1 Ce 2.88
Ce  0.1857  0.0000  0.6276  1 Pt 2.73
Ce  0.1890  0.5000  0.8862  1 Ce 2.88, 4 Pt 3.12-3.16
Ag  0.0000  0.5000  0.0000  2 Ce 2.79
Pt  0.0607  0.0000  0.7699  2 Ce 2.73-2.81
Pt  0.2041  0.0000  0.3284  5 Ce 2.79-3.10, 1 Pt 3.10

Calculated values
calculated formation energy	-7.09	eV per formula unit
density of states at the Fermi level	2.879	states/eV per atom
final energy	-6.303	eV per atom



A geometry-optimized CeAgPt2 structure. Source: the Alexandria database, functional PBE.

abc: 3.6418 3.6418 5.9074
angles: 90.00 90.00 90.00
Closest atoms and distances in Å follow each position.
Space group P4/mmm (No. 123)
Asymmetric unit:
Ce  0.0000  0.0000  0.0000  2 Ag 2.95, 8 Pt 2.99
Ag  0.0000  0.0000  0.5000  8 Pt 2.94, 2 Ce 2.95
Pt  0.5000  0.5000  0.2586  2 Pt 2.85-3.06, 4 Ag 2.94, 4 Ce 2.99

Calculated values
calculated formation energy	-2.56	eV per formula unit
density of states at the Fermi level	0.792	states/eV per atom
final energy	-5.856	eV per atom



A geometry-optimized Ce4AgPt2 structure. Source: the Alexandria database, functional PBE.

abc: 4.5307 4.5307 31.9512
angles: 90.00 90.00 120.00
Closest atoms and distances in Å follow each position.
Space group R-3m (No. 166, hexagonal axes)
Asymmetric unit:
Ce  0.0000  0.0000  0.1135  3 Pt 2.94, 3 Ag 3.12
Ce  0.0000  0.0000  0.3049  4 Pt 2.96-3.19, 3 Ce 3.18-3.19
Ag  0.0000  0.0000  0.5000  2 Pt 3.04, 6 Ce 3.12
Pt  0.0000  0.0000  0.4049  7 Ce 2.94-3.19, 1 Ag 3.04

Calculated values
calculated formation energy	-3.61	eV per formula unit
density of states at the Fermi level	3.269	states/eV per atom
final energy	-6.040	eV per atom



A geometry-optimized CeAgPt2 structure. Source: the Alexandria database, functional PBE.

abc: 4.4159 4.4159 3.9657
angles: 90.00 90.00 90.00
Closest atoms and distances in Å follow each position.
Space group P4/mmm (No. 123)
Asymmetric unit:
Ce  0.0000  0.0000  0.0000  8 Pt 2.97, 4 Ag 3.12
Ag  0.5000  0.5000  0.0000  8 Pt 2.97, 4 Ce 3.12
Pt  0.0000  0.5000  0.5000  4 Ce 2.97, 4 Ag 2.97, 4 Pt 3.12

Calculated values
calculated formation energy	-2.51	eV per formula unit
density of states at the Fermi level	1.670	states/eV per atom
final energy	-5.844	eV per atom